Entry from Alexandria: MnNbFe2Se after structural relaxation (GGA-PBE).

Output
Raw total energy: -0.479 Ry per atom
Magnetization: 6.35 μB per formula unit
E_form (uncorrected): 1.41 eV/atom
Relative energy among the computed polymorphs: 584 meV per atom
D(E_F): 5.0 states/eV/f.u.
Space-group type: No. 123

Cell: 4.5501 4.7973 4.5501 Å, 90.00 90.00 90.00°
Fractional positions:
Se 0.5000 0.5000 0.5000
Fe 0.5000 0.0000 0.0000
Nb 0.0000 0.0000 0.0000
Fe 0.0000 0.0000 0.5000
Mn 0.0000 0.5000 0.0000